No. 1
! SrZn GGA-PBE relaxed; values from VASP
&SYSTEM
  ibrav = 0, nat = 16, ntyp = 2
/
ATOMIC_SPECIES
Zn 65.41 Zn.upf
Sr 87.62 Sr.upf
CELL_PARAMETERS angstrom
-5.837 1.626 0.595
-3.889 -11.216 -7.499
-0.368 -3.074 4.789
ATOMIC_POSITIONS angstrom
Zn -4.683 -6.148 -0.911
Zn -8.145 -7.242 -5.275
Zn -5.727 -6.346 -4.513
Zn -8.936 -9.524 -6.800
Zn -7.100 -7.043 -1.671
Zn -3.622 -0.275 -0.455
Zn -5.317 -1.900 1.767
Zn -3.892 -3.865 0.615
Sr -2.123 -1.709 2.135
Sr -8.364 -10.021 -3.680
Sr -4.464 -3.369 -2.506
Sr -5.523 -9.224 -6.345
Sr -7.305 -4.166 0.160
Sr -2.402 -6.193 -4.159
Sr -4.589 -8.823 -2.621
Sr -0.979 -2.090 -1.417
! Calculated total energy (eV/cell): -25.1

No. 2
! SrZn2 GGA-PBE relaxed; values from VASP
&SYSTEM
  ibrav = 0, nat = 12, ntyp = 2
/
ATOMIC_SPECIES
Zn 65.41 Zn.upf
Sr 87.62 Sr.upf
CELL_PARAMETERS angstrom
4.967 0.000 0.000
0.000 11.625 0.000
0.000 0.000 5.004
ATOMIC_POSITIONS angstrom
Zn 2.838 9.687 0.000
Zn 2.002 10.971 2.502
Zn 4.409 9.687 2.502
Zn 2.002 8.404 2.502
Zn 4.696 3.875 0.000
Zn 2.137 5.158 0.000
Zn 2.137 2.591 0.000
Zn 1.300 3.875 2.502
Sr 0.342 7.710 0.000
Sr 3.796 5.853 2.502
Sr 3.796 1.897 2.502
Sr 0.342 0.040 0.000
! Calculated total energy (eV/cell): -17.1

No. 3
! SrZn GGA-PBE relaxed; values from VASP
&SYSTEM
  ibrav = 0, nat = 12, ntyp = 2
/
ATOMIC_SPECIES
Zn 65.41 Zn.upf
Sr 87.62 Sr.upf
CELL_PARAMETERS angstrom
-0.961 2.277 -8.566
-0.567 -7.515 -1.317
-5.305 0.283 0.670
ATOMIC_POSITIONS angstrom
Zn -1.270 -1.961 -9.223
Zn -3.773 -0.606 -8.216
Zn -0.653 -4.401 -3.307
Zn -2.852 -0.669 -0.898
Zn -0.614 -6.616 -2.065
Zn -3.155 -3.047 -2.299
Sr -0.421 -1.374 -2.751
Sr -1.014 -3.750 -6.443
Sr -3.525 -5.627 -4.130
Sr -0.901 0.621 -7.394
Sr -4.005 -3.635 -8.771
Sr -3.411 -1.256 -5.081
! Calculated total energy (eV/cell): -18.4